# ZrMn2Ag | Alexandria | PBE | optimized geometry
data_ZrMn2Ag
_chemical_formula_sum 'Zr2 Mn4 Ag2'
_cell_length_a 3.916
_cell_length_b 3.916
_cell_length_c 8.684
_cell_angle_alpha 90.00
_cell_angle_beta 90.00
_cell_angle_gamma 90.00
_space_group_name_H-M_alt 'I -4 m 2'
_space_group_IT_number 119
_space_group_name_Hall 'I -4 -2'
loop_
_atom_site_label
_atom_site_type_symbol
_atom_site_fract_x
_atom_site_fract_y
_atom_site_fract_z
Zr1 Zr 0.000 0.000 0.000
Mn1 Mn 0.000 0.000 0.500
Mn2 Mn 0.000 0.500 0.250
Ag1 Ag 0.000 0.500 0.750
# Calculated volume: 133.2 Å³/cell
# Energy of formation from the pure elements: 0.6 eV per formula unit
# Fermi-level density of states: 3.05 states/eV/f.u.
# Total magnetization: 1.405 μB per atom
# Relative energy among the computed polymorphs: 65 meV/atom